(1)
Computed, not measured: PmSm8Er5 after structural relaxation at the PBE level of DFT.

V = 472.1 Å³/cell
Symmetry = I-4
Calculated density = 7.7 g/cm³
Crystal system = tetragonal
VASP energy = -4.420 eV/atom

Unit cell a=8.506 b=8.506 c=8.506 alpha=111.50 beta=105.49 gamma=111.50
Sites, in units of the cell vectors:
Er (0.278, 0.095, 0.962)
Sm (0.164, 0.735, 0.076)
Er (0.868, 0.905, 0.183)
Sm (0.342, 0.265, 0.429)
Sm (0.531, 0.605, 0.275)
Er (0.500, 0.000, 0.500)
Sm (0.571, 0.913, 0.836)
Er (0.817, 0.684, 0.722)
Sm (0.670, 0.395, 0.926)
Pm (0.250, 0.500, 0.750)
Er (0.038, 0.316, 0.132)
Sm (0.924, 0.087, 0.658)
Sm (0.725, 0.256, 0.330)
Sm (0.074, 0.744, 0.469)

=====

(2)
Computed, not measured: PmSm15Er4 after structural relaxation at the PBE level of DFT.

V = 662.0 Å³/cell
Symmetry = P4/mmm
Calculated density = 7.7 g/cm³
Crystal system = tetragonal
VASP energy = -4.674 eV/atom

Unit cell a=5.101 b=5.101 c=25.443 alpha=90.00 beta=90.00 gamma=90.00
Sites, in units of the cell vectors:
Sm (0.500, 0.500, 0.798)
Sm (0.500, 0.000, 0.699)
Sm (0.500, 0.500, 0.600)
Sm (0.000, 0.500, 0.301)
Er (0.000, 0.000, 0.799)
Er (0.000, 0.000, 0.400)
Sm (0.000, 0.500, 0.500)
Sm (0.500, 0.000, 0.898)
Er (0.000, 0.000, 0.600)
Sm (0.000, 0.500, 0.898)
Sm (0.500, 0.000, 0.500)
Sm (0.500, 0.000, 0.301)
Sm (0.500, 0.500, 0.202)
Sm (0.000, 0.500, 0.699)
Pm (0.000, 0.000, 0.000)
Sm (0.500, 0.500, 0.000)
Sm (0.500, 0.500, 0.400)
Sm (0.500, 0.000, 0.102)
Er (0.000, 0.000, 0.201)
Sm (0.000, 0.500, 0.102)

=====

Please write out number 2 again, unchanged.
Computed, not measured: PmSm15Er4 after structural relaxation at the PBE level of DFT.

V = 662.0 Å³/cell
Symmetry = P4/mmm
Calculated density = 7.7 g/cm³
Crystal system = tetragonal
VASP energy = -4.674 eV/atom

Unit cell a=5.101 b=5.101 c=25.443 alpha=90.00 beta=90.00 gamma=90.00
Sites, in units of the cell vectors:
Sm (0.500, 0.500, 0.798)
Sm (0.500, 0.000, 0.699)
Sm (0.500, 0.500, 0.600)
Sm (0.000, 0.500, 0.301)
Er (0.000, 0.000, 0.799)
Er (0.000, 0.000, 0.400)
Sm (0.000, 0.500, 0.500)
Sm (0.500, 0.000, 0.898)
Er (0.000, 0.000, 0.600)
Sm (0.000, 0.500, 0.898)
Sm (0.500, 0.000, 0.500)
Sm (0.500, 0.000, 0.301)
Sm (0.500, 0.500, 0.202)
Sm (0.000, 0.500, 0.699)
Pm (0.000, 0.000, 0.000)
Sm (0.500, 0.500, 0.000)
Sm (0.500, 0.500, 0.400)
Sm (0.500, 0.000, 0.102)
Er (0.000, 0.000, 0.201)
Sm (0.000, 0.500, 0.102)

=====

Number 2 is which compound?
PmSm15Er4